This record from Alexandria via LeMat-Bulk describes a geometry-optimized NaCd2Hg4 structure. The functional is PBE-GGA.

Unit cell a=8.599 b=8.599 c=8.599 alpha=34.45 beta=34.45 gamma=34.45
Positions (direct):
Na: 0.000 0.000 0.000
Cd: 0.255 0.255 0.255
Cd: 0.745 0.745 0.745
Hg: 0.132 0.132 0.132
Hg: 0.387 0.387 0.387
Hg: 0.613 0.613 0.613
Hg: 0.868 0.868 0.868

The value obtained for the density of states at the Fermi level is 1.86 states/eV/f.u. The calculation puts the offset from the most stable computed form at 0 meV per atom. Its space-group type is R-3m. For the formation energy, the calculation gives -89 meV/atom.

This record from Alexandria via LeMat-Bulk describes a geometry-optimized NaCd2Hg4 structure. The functional is PBE-GGA.

Unit cell a=7.629 b=5.914 c=8.536 alpha=90.00 beta=105.69 gamma=90.00
Positions (direct):
Na: 0.122 0.250 0.257
Na: 0.878 0.750 0.743
Cd: 0.127 0.250 0.881
Cd: 0.446 0.750 0.421
Cd: 0.554 0.250 0.579
Cd: 0.873 0.750 0.119
Hg: 0.200 0.502 0.604
Hg: 0.200 0.998 0.604
Hg: 0.240 0.750 0.070
Hg: 0.483 0.250 0.131
Hg: 0.517 0.750 0.869
Hg: 0.760 0.250 0.930
Hg: 0.800 0.002 0.396
Hg: 0.800 0.498 0.396

The value obtained for the density of states at the Fermi level is 1.98 states/eV/f.u. The calculation puts the offset from the most stable computed form at 31 meV per atom. Its space-group type is P2_1/m. For the formation energy, the calculation gives -58 meV/atom.

This record from Alexandria via LeMat-Bulk describes a geometry-optimized Na4CdHg structure. The functional is PBE-GGA.

Unit cell a=11.788 b=11.788 c=6.470 alpha=90.00 beta=90.00 gamma=155.27
Positions (direct):
Na: 0.029 0.971 0.500
Na: 0.143 0.857 0.193
Na: 0.273 0.727 0.452
Na: 0.425 0.575 0.373
Na: 0.575 0.425 0.873
Na: 0.727 0.273 0.952
Na: 0.857 0.143 0.693
Na: 0.971 0.029 0.000
Cd: 0.155 0.845 0.710
Cd: 0.845 0.155 0.210
Hg: 0.328 0.672 0.971
Hg: 0.672 0.328 0.471

The value obtained for the density of states at the Fermi level is 2.53 states/eV/f.u. The calculation puts the offset from the most stable computed form at 0 meV per atom. Its space-group type is Cmc2_1. For the formation energy, the calculation gives -72 meV/atom.